A plane-wave DFT calculation with PBE-GGA was carried out for a relaxed RbGaGe crystal.

Computed properties:
- Formation energy from the elements: -0.079 eV per atom
- V: 199.1 Å³/cell
- Spin magnetization: 0.00 μB/f.u.

Geometry as POSCAR:
```
RbGaGe
1.0
7.194 0.000 -0.023
2.618 4.195 -3.308
-2.618 4.195 3.308
Ge Ga Rb
2 2 2
Cartesian
-0.604 1.451 1.097
7.798 1.451 -1.120
7.841 3.963 -1.108
-0.647 3.963 1.085
4.340 2.710 -1.989
2.854 2.710 1.966
```

---

A plane-wave DFT calculation with PBE-GGA was carried out for a relaxed TiMoPd2 crystal.

Computed properties:
- Formation energy from the elements: 0.012 eV per atom
- V: 63.6 Å³/cell
- Spin magnetization: 0.00 μB/f.u.

Geometry as POSCAR:
```
TiMoPd2
1.0
0.488 -3.902 -2.148
-3.387 -1.668 -2.414
0.261 -0.078 -4.473
Pd Ti Mo
2 1 1
Cartesian
-1.979 -4.236 -6.776
-0.660 -1.412 -2.259
0.000 0.000 0.000
-1.319 -2.824 -4.517
```

---

A plane-wave DFT calculation with PBE-GGA was carried out for a relaxed KTaHg crystal.

Computed properties:
- Formation energy from the elements: 0.288 eV per atom
- V: 172.6 Å³/cell
- Spin magnetization: 0.00 μB/f.u.

Geometry as POSCAR:
```
KTaHg
1.0
14.921 0.000 -0.007
0.809 2.474 -2.339
-0.809 2.474 2.339
Ta Hg K
2 2 2
Cartesian
7.269 2.474 -1.378
7.652 2.474 1.371
10.206 2.474 -0.370
4.714 2.474 0.363
1.541 2.474 1.890
13.379 2.474 -1.896
```

---

A plane-wave DFT calculation with PBE-GGA was carried out for a relaxed SrLi crystal.

Computed properties:
- Formation energy from the elements: 0.048 eV per atom
- V: 151.8 Å³/cell
- Spin magnetization: 0.00 μB/f.u.

Geometry as POSCAR:
```
SrLi
1.0
-2.521 4.149 5.238
-4.665 -2.741 4.662
6.531 -0.512 -2.845
Sr Li
2 2
Cartesian
-1.021 3.134 4.268
0.366 -2.237 2.786
-2.491 -0.233 4.529
1.836 1.130 2.526
```

---

A plane-wave DFT calculation with PBE-GGA was carried out for a relaxed Na2U2PtS6 crystal.

Computed properties:
- Formation energy (no corrections): -1.0681 eV per atom
- V: 268.6 Å³/cell
- Spin magnetization: 1.98 μB/f.u.

Geometry as POSCAR:
```
Na2U2PtS6
1.0
-1.061 -4.570 5.160
6.200 1.821 -2.623
-1.056 5.843 3.813
Na S U Pt
2 6 2 1
Cartesian
5.109 0.861 -1.454
0.029 -3.610 3.991
2.173 -1.705 4.456
1.910 4.799 1.895
4.980 0.766 1.447
0.947 1.070 1.762
-0.897 2.328 4.903
3.136 2.024 4.588
0.891 0.535 4.408
3.191 2.560 1.942
-0.528 2.922 1.907
```

---

A plane-wave DFT calculation with PBE-GGA was carried out for a relaxed K2ZrH6 crystal.

Computed properties:
- V: 165.1 Å³/cell
- Spin magnetization: 0.00 μB/f.u.

Geometry as POSCAR:
```
K2ZrH6
1.0
-4.306 1.670 4.072
1.605 3.050 5.103
-1.497 5.939 0.637
H Zr K
6 1 2
Cartesian
-4.111 6.568 4.798
-0.900 7.317 5.359
-3.298 3.342 4.453
-0.087 4.091 5.013
-2.426 4.998 7.224
-1.772 5.660 2.587
0.000 0.000 0.000
-1.049 2.665 2.453
-3.148 7.994 7.358
```

---

| no. | DFT total energy (hartree per atom) |
| --- | --- |
| 1 | -0.10838 |
| 2 | -0.26702 |
| 3 | -0.15175 |
| 4 | -0.06430 |
| 5 | -0.22640 |
| 6 | -0.12577 |